Compound: U2Fe3Si
Source: Alexandria via LeMat-Bulk
Functional: SCAN
Structure: PBEsol geometry

Computed properties:
**Mass density**: 13721 kg/m3
**Spin magnetization**: 0.00 μB/cell
**DFT total energy**: -545.236 eV/cell
**SG**: P6_3/mmc
**Volume**: 163 Å³/cell

a b c (Å): 5.0676 5.0676 7.3099
angles (deg): 90.00 90.00 120.00
Element x y z (fractional)
1 Si 0.0000 0.0000 0.5000
2 Si 0.0000 0.0000 0.0000
3 U 0.3333 0.6667 0.5653
4 U 0.6667 0.3333 0.4347
5 U 0.6667 0.3333 0.0653
6 U 0.3333 0.6667 0.9347
7 Fe 0.8321 0.1679 0.7500
8 Fe 0.6641 0.8321 0.2500
9 Fe 0.1679 0.8321 0.2500
10 Fe 0.8321 0.6641 0.7500
11 Fe 0.1679 0.3359 0.2500
12 Fe 0.3359 0.1679 0.7500



Compound: U2Fe3Si5
Source: Alexandria via LeMat-Bulk
Functional: SCAN
Structure: PBEsol geometry

Computed properties:
**Mass density**: 9220 kg/m3
**Spin magnetization**: 4.29 μB/cell
**DFT total energy**: -629.840 eV/cell
**SG**: C2/c
**Volume**: 282 Å³/cell

a b c (Å): 5.3890 7.7736 7.7736
angles (deg): 92.29 110.13 110.13
Element x y z (fractional)
1 U 0.7750 0.4097 0.1289
2 U 0.7250 0.8711 0.5903
3 U 0.2250 0.5903 0.8711
4 U 0.2750 0.1289 0.4097
5 Fe 0.6439 0.4594 0.7479
6 Fe 0.8561 0.2521 0.5406
7 Fe 0.3561 0.5406 0.2521
8 Fe 0.1439 0.7479 0.4594
9 Fe 0.7500 0.9995 0.0005
10 Fe 0.2500 0.0005 0.9995
11 Si 0.8294 0.7406 0.9315
12 Si 0.6706 0.0685 0.2594
13 Si 0.1706 0.2594 0.0685
14 Si 0.3294 0.9315 0.7406
15 Si 0.7500 0.2063 0.7937
16 Si 0.2500 0.7937 0.2063
17 Si 0.7500 0.5147 0.4853
18 Si 0.2500 0.4853 0.5147
19 Si 0.7500 0.7755 0.2245
20 Si 0.2500 0.2245 0.7755



Compound: VFe3Si4
Source: Alexandria via LeMat-Bulk
Functional: SCAN
Structure: PBEsol geometry

Computed properties:
**Mass density**: 6132 kg/m3
**Spin magnetization**: 2.46 μB/cell
**DFT total energy**: -114.761 eV/cell
**SG**: R3
**Volume**: 90 Å³/cell

a b c (Å): 4.4746 4.4746 4.4746
angles (deg): 89.59 89.59 89.59
Element x y z (fractional)
1 Si 0.3330 0.3330 0.3330
2 Si 0.6609 0.1506 0.8587
3 Si 0.1506 0.8587 0.6609
4 Si 0.8587 0.6609 0.1506
5 Fe 0.3702 0.8513 0.1395
6 Fe 0.8513 0.1395 0.3702
7 Fe 0.1395 0.3702 0.8513
8 V 0.6359 0.6359 0.6359



Compound: V2FeSi
Source: Alexandria via LeMat-Bulk
Functional: SCAN
Structure: PBEsol geometry

Computed properties:
**Mass density**: 6649 kg/m3
**Spin magnetization**: 0.00 μB/cell
**DFT total energy**: -129.590 eV/cell
**SG**: Ama2
**Volume**: 93 Å³/cell

a b c (Å): 4.4853 4.5488 4.5488
angles (deg): 89.87 90.00 90.00
Element x y z (fractional)
1 V 0.5000 0.4975 0.4975
2 V 0.7500 0.2400 0.0058
3 V 0.2500 0.0058 0.2400
4 V 0.0000 0.4975 0.4975
5 Fe 0.7500 0.7475 0.0063
6 Fe 0.2500 0.0063 0.7475
7 Si 0.2500 0.5102 0.9953
8 Si 0.7500 0.9953 0.5102



Compound: FeSiW2
Source: Alexandria via LeMat-Bulk
Functional: SCAN
Structure: PBEsol geometry

Computed properties:
**Mass density**: 14120 kg/m3
**Spin magnetization**: 0.00 μB/cell
**DFT total energy**: -166.770 eV/cell
**SG**: P4/mmm
**Volume**: 53 Å³/cell

a b c (Å): 2.7520 2.7520 7.0126
angles (deg): 90.00 90.00 90.00
Element x y z (fractional)
1 Fe 0.5000 0.5000 0.0000
2 Si 0.5000 0.5000 0.5000
3 W 0.0000 0.0000 0.7573
4 W 0.0000 0.0000 0.2427



Compound: FeSiW2
Source: Alexandria via LeMat-Bulk
Functional: SCAN
Structure: PBEsol geometry

Computed properties:
**Mass density**: 13966 kg/m3
**Spin magnetization**: 1.88 μB/cell
**DFT total energy**: -167.464 eV/cell
**SG**: Imm2
**Volume**: 54 Å³/cell

a b c (Å): 3.0898 4.2295 4.8725
angles (deg): 115.72 108.49 90.00
Element x y z (fractional)
1 Fe 0.5123 0.5123 0.0246
2 Si 0.2335 0.7335 0.4671
3 W 0.9943 0.9943 0.9886
4 W 0.7599 0.2599 0.5198



Compound: FeSi2W
Source: Alexandria via LeMat-Bulk
Functional: SCAN
Structure: PBEsol geometry

Computed properties:
**Mass density**: 8796 kg/m3
**Spin magnetization**: 4.43 μB/cell
**DFT total energy**: -212.617 eV/cell
**SG**: I-42d
**Volume**: 112 Å³/cell

a b c (Å): 3.6343 3.6343 8.8386
angles (deg): 101.86 101.86 90.00
Element x y z (fractional)
1 Si 0.3970 0.8750 0.2500
2 Si 0.8530 0.3750 0.2500
3 Si 0.1250 0.1470 0.7500
4 Si 0.6250 0.6030 0.7500
5 Fe 0.7500 0.2500 0.5000
6 Fe 0.5000 0.5000 0.0000
7 W 0.2500 0.7500 0.5000
8 W 0.0000 0.0000 0.0000



Compound: YFeSi2
Source: Alexandria via LeMat-Bulk
Functional: SCAN
Structure: PBEsol geometry

Computed properties:
**Mass density**: 5257 kg/m3
**Spin magnetization**: 0.00 μB/cell
**DFT total energy**: -68.382 eV/cell
**SG**: R-3m
**Volume**: 63 Å³/cell

a b c (Å): 3.8670 3.8670 5.3854
angles (deg): 68.96 68.96 60.00
Element x y z (fractional)
1 Y 0.0000 0.0000 0.0000
2 Si 0.7928 0.7928 0.6216
3 Si 0.2072 0.2072 0.3784
4 Fe 0.5000 0.5000 0.5000